Density functional theory data (GGA-PBE) for a relaxed ZrGa2Ni9 crystal.

a b c (Å): 8.160 8.160 8.160
angles (deg): 34.01 34.01 34.01
Sites, in units of the cell vectors:
Zr: 0.000 0.000 0.000
Ga: 0.140 0.140 0.140
Ga: 0.860 0.860 0.860
Ni: 0.081 0.589 0.589
Ni: 0.334 0.334 0.334
Ni: 0.411 0.411 0.919
Ni: 0.411 0.919 0.411
Ni: 0.500 0.500 0.500
Ni: 0.589 0.081 0.589
Ni: 0.589 0.589 0.081
Ni: 0.666 0.666 0.666
Ni: 0.919 0.411 0.411

energy relative to the elements = -20.5 kJ/mol of atoms
uncorrected energy = -5.766 eV per atom
space-group type = No. 166
offset from the most stable computed form = 1.54 eV per formula unit
magnetic moment = 0.0 μB/f.u.


Density functional theory data (GGA-PBE) for a relaxed KPb2Se crystal.

a b c (Å): 4.678 4.678 5.566
angles (deg): 90.00 90.00 90.00
Sites, in units of the cell vectors:
K: 0.000 0.000 0.000
Pb: 0.000 0.500 0.500
Pb: 0.500 0.000 0.500
Se: 0.500 0.500 0.000

uncorrected energy = -3.262 eV per atom
space-group type = No. 123
magnetic moment = 0.0 μB/f.u.
formation energy (no corrections) = -262 meV per atom